(1)
The following is a PBE calculation of CsYTh after structural relaxation, from OQMD.

Cell: 5.5098 5.5098 5.5098 Å, 60.00 60.00 60.00°
Atoms (fractional coordinates):
Cs 0.0000 0.0000 0.0000
Th 0.7500 0.7500 0.7500
Y 0.2500 0.2500 0.2500

Summary:
- offset from the most stable computed form (eV per atom) = 0.009
- total moment (μB/f.u.) = 0.0
- E (eV/atom) = -3.43


(2)
The following is a PBE calculation of DyY2Al3NiGe2 after structural relaxation, from OQMD.

Cell: 4.1819 6.9487 6.9487 Å, 120.00 90.00 90.00°
Atoms (fractional coordinates):
Al 0.5000 0.2284 0.0000
Al 0.5000 0.0000 0.2284
Al 0.5000 0.7715 0.7715
Dy 0.0000 0.4027 0.4027
Ge 0.5000 0.6662 0.3334
Ge 0.5000 0.3334 0.6662
Ni 0.0000 0.0009 0.0009
Y 0.0000 0.5967 0.0000
Y 0.0000 0.0000 0.5967

Summary:
- total moment (μB/f.u.) = 0.0
- E (eV/atom) = -5.59


(3)
The following is a PBE calculation of U2Ta after structural relaxation, from OQMD.

Cell: 8.3283 8.3283 8.3283 Å, 60.00 60.00 60.00°
Last column: magnetic moment on the atom in μB.
Atoms (fractional coordinates):
Ta 0.2500 0.2500 0.2500  -0.06
Ta 0.5000 0.5000 0.5000  -0.06
U 0.8750 0.3750 0.3750  1.98
U 0.3750 0.8750 0.3750  2.16
U 0.3750 0.3750 0.3750  2.14
U 0.3750 0.3750 0.8750  2.16

Summary:
- ΔE_f (eV/f.u.) = 8.927
- total moment (μB/f.u.) = 4.9
- E (eV/atom) = -8.51


(4)
The following is a PBE calculation of HfGaFeAg after structural relaxation, from OQMD.

Cell: 4.5082 4.5082 4.5082 Å, 60.00 60.00 60.00°
Atoms (fractional coordinates):
Ag 0.2500 0.2500 0.2500
Fe 0.7500 0.7500 0.7500
Ga 0.0000 0.0000 0.0000
Hf 0.5000 0.5000 0.5000

Summary:
- offset from the most stable computed form (eV per atom) = 0.000
- total moment (μB/f.u.) = 1.6
- E (eV/atom) = -6.06


(5)
The following is a PBE calculation of Er2TmLu4Te2Pd2 after structural relaxation, from OQMD.

Cell: 9.2655 9.2655 9.2655 Å, 155.80 67.45 118.13°
Atoms (fractional coordinates):
Er 0.7122 0.5822 0.1301
Er 0.4521 0.5822 0.8699
Lu 0.6905 0.3738 0.3167
Lu 0.0882 0.7322 0.3561
Lu 0.3761 0.7322 0.6439
Lu 0.0571 0.3738 0.6833
Pd 0.3042 0.0693 0.2349
Pd 0.8343 0.0693 0.7651
Te 0.3364 0.3364 0.0000
Te 0.7362 0.2362 0.5000
Tm 0.0007 0.0007 0.0000

Summary:
- total moment (μB/f.u.) = 0.0
- E (eV/atom) = -5.24


(6)
The following is a PBE calculation of NdU2N3 after structural relaxation, from OQMD.

Cell: 3.4723 3.4723 8.5790 Å, 90.00 90.00 120.00°
Last column: magnetic moment on the atom in μB.
Atoms (fractional coordinates):
N 0.0000 0.0000 0.0000  -0.06
N 0.3333 0.6667 0.3060  -0.04
N 0.6667 0.3333 0.6940  -0.04
Nd 0.0000 0.0000 0.5000  0.03
U 0.6667 0.3333 0.1596  0.94
U 0.3333 0.6667 0.8404  0.94

Summary:
- total moment (μB/f.u.) = 1.9
- E (eV/atom) = -10.08


(7)
The following is a PBE calculation of HfCdPb after structural relaxation, from OQMD.

Cell: 4.8596 4.8596 4.8596 Å, 60.00 60.00 60.00°
Atoms (fractional coordinates):
Cd 0.0000 0.0000 0.0000
Hf 0.2500 0.2500 0.2500
Pb 0.7500 0.7500 0.7500

Summary:
- offset from the most stable computed form (eV per atom) = 0.411
- total moment (μB/f.u.) = 0.1
- E (eV/atom) = -4.26


(8)
The following is a PBE calculation of TaSiSn after structural relaxation, from OQMD.

Cell: 4.5488 4.5488 4.5488 Å, 60.00 60.00 60.00°
Atoms (fractional coordinates):
Si 0.2500 0.2500 0.2500
Sn 0.7500 0.7500 0.7500
Ta 0.0000 0.0000 0.0000

Summary:
- offset from the most stable computed form (eV per atom) = 0.052
- total moment (μB/f.u.) = 0.0
- E (eV/atom) = -6.48